{
  "formula": "TaCoP4",
  "functional": "meta-GGA SCAN",
  "state": "PBEsol geometry",
  "lattice_angstrom": [[0.0000, 3.4056, 3.4056], [3.4056, 0.0000, 3.4056], [3.4056, 3.4056, 0.0000]],
  "species": ["Ta", "Co", "P", "P", "P", "P"],
  "frac_coords": [[0.0000, 0.0000, 0.0000], [0.2500, 0.2500, 0.2500], [0.1268, 0.6244, 0.6244], [0.6244, 0.1268, 0.6244], [0.6244, 0.6244, 0.1268], [0.6244, 0.6244, 0.6244]]
}



{
  "formula": "TaCo2P",
  "functional": "meta-GGA SCAN",
  "state": "PBEsol geometry",
  "lattice_angstrom": [[-1.5359, 2.0369, 3.8935], [1.5359, -2.0369, 3.8935], [1.5359, 2.0369, -3.8935]],
  "species": ["Ta", "Co", "Co", "P"],
  "frac_coords": [[0.0000, 0.0000, 0.0000], [0.4422, 0.4422, 0.0000], [0.7257, 0.2257, 0.5000], [0.2547, 0.7547, 0.5000]]
}



{
  "formula": "TaCoP",
  "functional": "meta-GGA SCAN",
  "state": "PBEsol geometry",
  "lattice_angstrom": [[6.0479, 0.0000, 0.0000], [0.0000, 3.5652, 0.0000], [0.0000, 0.0000, 6.8737]],
  "species": ["Ta", "Ta", "Ta", "Ta", "Co", "Co", "Co", "Co", "P", "P", "P", "P"],
  "frac_coords": [[0.0247, 0.2500, 0.1728], [0.4753, 0.7500, 0.6728], [0.5247, 0.2500, 0.3272], [0.9753, 0.7500, 0.8272], [0.1480, 0.2500, 0.5634], [0.3520, 0.7500, 0.0634], [0.6480, 0.2500, 0.9366], [0.8520, 0.7500, 0.4366], [0.2210, 0.7500, 0.3796], [0.2790, 0.2500, 0.8796], [0.7210, 0.7500, 0.1204], [0.7790, 0.2500, 0.6204]]
}



{
  "formula": "TbCo3P2",
  "functional": "meta-GGA SCAN",
  "state": "PBEsol geometry",
  "lattice_angstrom": [[3.6485, 0.0000, 0.0000], [0.0000, 10.3926, 0.0000], [0.0000, 0.0000, 12.0467]],
  "species": ["Tb", "Tb", "Tb", "Tb", "Tb", "Tb", "Co", "Co", "Co", "Co", "Co", "Co", "Co", "Co", "Co", "Co", "Co", "Co", "Co", "Co", "Co", "Co", "Co", "Co", "P", "P", "P", "P", "P", "P", "P", "P", "P", "P", "P", "P"],
  "frac_coords": [[0.2500, 0.0673, 0.2058], [0.2500, 0.2500, 0.4778], [0.2500, 0.4327, 0.2058], [0.7500, 0.5673, 0.7942], [0.7500, 0.7500, 0.5222], [0.7500, 0.9327, 0.7942], [0.2500, 0.1300, 0.7098], [0.2500, 0.2500, 0.0140], [0.2500, 0.3700, 0.7098], [0.2500, 0.5477, 0.4304], [0.2500, 0.5834, 0.9951], [0.2500, 0.7500, 0.1585], [0.2500, 0.7500, 0.7035], [0.2500, 0.9166, 0.9951], [0.2500, 0.9523, 0.4304], [0.7500, 0.0477, 0.5696], [0.7500, 0.0834, 0.0049], [0.7500, 0.2500, 0.2965], [0.7500, 0.2500, 0.8415], [0.7500, 0.4166, 0.0049], [0.7500, 0.4523, 0.5696], [0.7500, 0.6300, 0.2902], [0.7500, 0.7500, 0.9860], [0.7500, 0.8700, 0.2902], [0.2500, 0.0979, 0.8933], [0.2500, 0.4021, 0.8933], [0.2500, 0.5599, 0.6157], [0.2500, 0.7500, 0.3433], [0.2500, 0.7500, 0.8833], [0.2500, 0.9401, 0.6157], [0.7500, 0.0599, 0.3843], [0.7500, 0.2500, 0.1167], [0.7500, 0.2500, 0.6567], [0.7500, 0.4401, 0.3843], [0.7500, 0.5979, 0.1067], [0.7500, 0.9021, 0.1067]]
}



{
  "formula": "CoTcP2",
  "functional": "meta-GGA SCAN",
  "state": "PBEsol geometry",
  "lattice_angstrom": [[3.9766, -1.4834, 0.0000], [3.9766, 1.4834, 0.0000], [-0.9829, 0.0000, 4.0112]],
  "species": ["Co", "Tc", "P", "P"],
  "frac_coords": [[0.0000, 0.0000, 0.0000], [0.7725, 0.7725, 0.4165], [0.2706, 0.2706, 0.9174], [0.5075, 0.5075, 0.5696]],
  "e_above_lowest_polymorph_ev_per_fu": 0.00
}



{
  "formula": "CoTcP2",
  "functional": "meta-GGA SCAN",
  "state": "PBEsol geometry",
  "lattice_angstrom": [[1.5056, -2.3465, 0.0000], [1.5056, 2.3465, 0.0000], [0.0000, 0.0000, 7.0191]],
  "species": ["Co", "Tc", "P", "P"],
  "frac_coords": [[0.0000, 0.0000, 0.0000], [0.0000, 0.0000, 0.5000], [0.5000, 0.5000, 0.2352], [0.5000, 0.5000, 0.7648]],
  "e_above_lowest_polymorph_ev_per_fu": 2.00
}



How do the records compare in ΔH_f (0 K)? In the order shown, they have 4.531; -0.861; -2.283; -5.354; -1.178; 0.821 eV per formula unit.
How do the records compare in Fermi-level density of states? In the order shown, they have 3.8; 1.8; 2.0; 2.5; 1.2; 2.3 states/eV/f.u..
How do the records compare in M_tot? In the order shown, they have 1.19; 0.00; 0.00; 6.04; 0.00; 0.00 Bohr magnetons per cell.